HfBC3: relaxed, GGA-PBE.

Output
The space group is Pm-3m (221). The value obtained for the density of states at the Fermi level is 2.18 states/eV/cell. The energy relative to the elements is 14.9 eV/f.u. The value obtained for the total magnetization is 0.00 μB/f.u. The total energy comes out at -29.43 eV per formula unit. The value obtained for the excess energy over the best structure of this formula in the dataset is 1564 meV per atom.

Unit cell a=4.302 b=4.302 c=4.302 alpha=90.00 beta=90.00 gamma=90.00
Sites, in units of the cell vectors:
C1 0.500 0.000 0.000
C2 0.000 0.000 0.500
C3 0.000 0.500 0.000
Hf1 0.000 0.000 0.000
B1 0.500 0.500 0.500

***

HfBIrC2: relaxed, GGA-PBE.

Output
The space group is P4/mmm (123). The value obtained for the density of states at the Fermi level is 4.72 states/eV/cell. The energy relative to the elements is 7.0 eV/f.u. The value obtained for the total magnetization is 0.00 μB/f.u. The total energy comes out at -36.96 eV per formula unit.

Unit cell a=3.886 b=4.273 c=3.886 alpha=90.00 beta=90.00 gamma=90.00
Sites, in units of the cell vectors:
Ir1 0.000 0.000 0.000
B1 0.000 0.500 0.000
Hf1 0.500 0.500 0.500
C1 0.000 0.000 0.500
C2 0.500 0.000 0.000

***

HfMn2BC: relaxed, GGA-PBE.

Output
The space group is P4/mmm (123). The value obtained for the density of states at the Fermi level is 4.10 states/eV/cell. The energy relative to the elements is 0.9 eV/f.u. The value obtained for the total magnetization is 3.58 μB/f.u. The total energy comes out at -43.30 eV per formula unit.

Unit cell a=3.712 b=4.454 c=3.712 alpha=90.00 beta=90.00 gamma=90.00
Sites, in units of the cell vectors:
Hf1 0.000 0.500 0.000
C1 0.000 0.000 0.000
Mn1 0.500 0.000 0.000
Mn2 0.000 0.000 0.500
B1 0.500 0.500 0.500

***

Hf2MnBC: relaxed, GGA-PBE.

Output
The space group is P4/mmm (123). The value obtained for the density of states at the Fermi level is 3.10 states/eV/cell. The energy relative to the elements is 5.9 eV/f.u. The value obtained for the total magnetization is 0.00 μB/f.u. The total energy comes out at -39.12 eV per formula unit.

Unit cell a=4.612 b=3.653 c=4.612 alpha=90.00 beta=90.00 gamma=90.00
Sites, in units of the cell vectors:
B1 0.000 0.500 0.000
Hf1 0.000 0.000 0.500
Hf2 0.500 0.000 0.000
Mn1 0.000 0.000 0.000
C1 0.500 0.500 0.500

***

Hf2NbBC: relaxed, GGA-PBE.

Output
The space group is P4/mmm (123). The value obtained for the density of states at the Fermi level is 3.35 states/eV/cell. The energy relative to the elements is 10.8 eV/f.u. The value obtained for the total magnetization is 0.00 μB/f.u. The total energy comes out at -35.04 eV per formula unit.

Unit cell a=5.028 b=4.000 c=5.028 alpha=90.00 beta=90.00 gamma=90.00
Sites, in units of the cell vectors:
Hf1 0.500 0.000 0.000
Hf2 0.000 0.000 0.500
C1 0.500 0.500 0.500
B1 0.000 0.500 0.000
Nb1 0.000 0.000 0.000

***

HfB2OsC: relaxed, GGA-PBE.

Output
The space group is P4/mmm (123). The value obtained for the density of states at the Fermi level is 3.82 states/eV/cell. The energy relative to the elements is 4.7 eV/f.u. The value obtained for the total magnetization is 0.00 μB/f.u. The total energy comes out at -39.04 eV per formula unit.

Unit cell a=4.085 b=3.858 c=4.085 alpha=90.00 beta=90.00 gamma=90.00
Sites, in units of the cell vectors:
Hf1 0.500 0.500 0.500
B1 0.000 0.000 0.500
B2 0.500 0.000 0.000
Os1 0.000 0.000 0.000
C1 0.000 0.500 0.000

***

Hf2PaBC4: relaxed, GGA-PBE.

Output
The space group is Cmcm (63). The value obtained for the density of states at the Fermi level is 2.28 states/eV/cell. The energy relative to the elements is -3.8 eV/f.u. The value obtained for the total magnetization is 0.00 μB/f.u. The total energy comes out at -76.75 eV per formula unit.

Unit cell a=3.278 b=5.612 c=10.839 alpha=90.00 beta=90.00 gamma=106.98
Sites, in units of the cell vectors:
Hf1 0.635 0.270 0.053
Hf2 0.365 0.730 0.947
Hf3 0.635 0.270 0.447
Hf4 0.365 0.730 0.553
C1 0.731 0.462 0.630
C2 0.269 0.538 0.130
C3 0.269 0.538 0.370
C4 0.570 0.140 0.250
C5 0.000 0.000 0.000
C6 0.430 0.860 0.750
C7 0.000 0.000 0.500
C8 0.731 0.462 0.870
B1 0.821 0.642 0.750
B2 0.179 0.358 0.250
Pa1 0.095 0.189 0.750
Pa2 0.905 0.811 0.250

***

HfBRuC2: relaxed, GGA-PBE.

Output
The space group is P4/mmm (123). The value obtained for the density of states at the Fermi level is 3.58 states/eV/cell. The energy relative to the elements is 8.0 eV/f.u. The value obtained for the total magnetization is 0.00 μB/f.u. The total energy comes out at -36.39 eV per formula unit.

Unit cell a=3.800 b=5.418 c=3.800 alpha=90.00 beta=90.00 gamma=90.00
Sites, in units of the cell vectors:
Ru1 0.000 0.000 0.000
C1 0.500 0.000 0.000
C2 0.000 0.000 0.500
Hf1 0.000 0.500 0.000
B1 0.500 0.500 0.500

***

Hf2SnBC: relaxed, GGA-PBE.

Output
The space group is P4/mmm (123). The value obtained for the density of states at the Fermi level is 3.97 states/eV/cell. The energy relative to the elements is 5.3 eV/f.u. The value obtained for the total magnetization is 0.00 μB/f.u. The total energy comes out at -34.54 eV per formula unit.

Unit cell a=4.609 b=4.099 c=4.609 alpha=90.00 beta=90.00 gamma=90.00
Sites, in units of the cell vectors:
Hf1 0.000 0.000 0.500
Hf2 0.500 0.000 0.000
C1 0.500 0.500 0.500
B1 0.000 0.000 0.000
Sn1 0.000 0.500 0.000

***

Hf2ThBC4: relaxed, GGA-PBE.

Output
The space group is Cmcm (63). The value obtained for the density of states at the Fermi level is 6.07 states/eV/cell. The energy relative to the elements is -3.1 eV/f.u. The value obtained for the total magnetization is 0.00 μB/f.u. The total energy comes out at -74.04 eV per formula unit.

Unit cell a=3.301 b=5.740 c=10.938 alpha=90.00 beta=90.00 gamma=106.71
Sites, in units of the cell vectors:
C1 0.264 0.527 0.373
C2 0.264 0.527 0.127
C3 0.000 0.000 0.500
C4 0.582 0.165 0.250
C5 0.736 0.473 0.627
C6 0.000 0.000 0.000
C7 0.736 0.473 0.873
C8 0.418 0.835 0.750
B1 0.179 0.359 0.250
B2 0.821 0.641 0.750
Th1 0.093 0.186 0.750
Th2 0.907 0.814 0.250
Hf1 0.635 0.270 0.449
Hf2 0.635 0.270 0.051
Hf3 0.365 0.730 0.551
Hf4 0.365 0.730 0.949

***

Hf2VBC: relaxed, GGA-PBE.

Output
The space group is P4/mmm (123). The value obtained for the density of states at the Fermi level is 5.00 states/eV/cell. The energy relative to the elements is 2.3 eV/f.u. The value obtained for the total magnetization is 1.46 μB/f.u. The total energy comes out at -42.67 eV per formula unit.

Unit cell a=4.869 b=2.980 c=4.869 alpha=90.00 beta=90.00 gamma=90.00
Sites, in units of the cell vectors:
V1 0.500 0.500 0.500
Hf1 0.500 0.000 0.000
Hf2 0.000 0.000 0.500
C1 0.000 0.500 0.000
B1 0.000 0.000 0.000

***

Hf2ZrBC: relaxed, GGA-PBE.

Output
The space group is P4/mmm (123). The value obtained for the density of states at the Fermi level is 3.51 states/eV/cell. The energy relative to the elements is 3.9 eV/f.u. The value obtained for the total magnetization is 0.00 μB/f.u. The total energy comes out at -40.42 eV per formula unit.

Unit cell a=4.429 b=4.499 c=4.429 alpha=90.00 beta=90.00 gamma=90.00
Sites, in units of the cell vectors:
C1 0.500 0.500 0.500
Hf1 0.500 0.000 0.000
Hf2 0.000 0.000 0.500
Zr1 0.000 0.500 0.000
B1 0.000 0.000 0.000

***

Repeat the twelfth record exactly.
Hf2ZrBC: relaxed, GGA-PBE.

Output
The space group is P4/mmm (123). The value obtained for the density of states at the Fermi level is 3.51 states/eV/cell. The energy relative to the elements is 3.9 eV/f.u. The value obtained for the total magnetization is 0.00 μB/f.u. The total energy comes out at -40.42 eV per formula unit.

Unit cell a=4.429 b=4.499 c=4.429 alpha=90.00 beta=90.00 gamma=90.00
Sites, in units of the cell vectors:
C1 0.500 0.500 0.500
Hf1 0.500 0.000 0.000
Hf2 0.000 0.000 0.500
Zr1 0.000 0.500 0.000
B1 0.000 0.000 0.000